4
Lattice="-2.643 -1.676 4.812 1.012 -5.534 1.142 2.165 5.285 -0.573" Properties=species:S:1:pos:R:3 comment="PBE Sc2TaBr, relaxed" polymorph_energy_kj_per_mol_atoms=48.8 total_magnetization_mub_per_cell=0.6 pbc="T T T"
Sc -0.797 -3.522 2.908
Sc -0.019 -0.083 0.069
Ta -0.647 0.002 3.608
Br 1.181 -1.927 1.773



4
Lattice="5.646 0.000 0.000 2.823 4.889 0.000 2.823 1.630 4.610" Properties=species:S:1:pos:R:3 comment="PBE NaLiAcMg, relaxed" formation_energy_kj_per_mol_fu=58 total_magnetization_mub_per_cell=0.0 pbc="T T T"
Li 0.000 0.000 0.000
Mg 5.646 3.259 2.305
Na 2.823 1.630 1.152
Ac 8.468 4.889 3.457



12
Lattice="-5.599 -1.583 -0.054 -2.230 -3.169 10.741 -4.402 4.827 1.398" Properties=species:S:1:pos:R:3 comment="PBE LaHo4Tm7, relaxed" formation_energy_kj_per_mol_fu=326 polymorph_energy_kj_per_mol_atoms=19.6 total_magnetization_mub_per_cell=0.0 pbc="T T T"
Ho -9.330 0.629 8.480
Ho -6.302 0.796 3.115
Ho -5.929 -0.721 8.969
Ho -2.901 -0.555 3.605
La 0.000 0.000 0.000
Tm -2.799 -0.792 -0.027
Tm -6.538 1.516 6.498
Tm -3.557 1.834 1.525
Tm -2.787 -1.089 7.421
Tm -8.674 -1.759 10.560
Tm -5.693 -1.441 5.587
Tm -9.445 1.164 4.664



6
Lattice="-0.882 3.901 0.209 -5.588 -1.274 0.179 3.158 0.256 8.543" Properties=species:S:1:pos:R:3 comment="PBE Ac3Mg2Ga, relaxed" formation_energy_kj_per_mol_fu=-115 polymorph_energy_kj_per_mol_atoms=0.0 total_magnetization_mub_per_cell=0.0 pbc="T T T"
Mg 0.235 -0.246 5.582
Mg -2.665 -0.771 3.140
Ac -2.985 1.051 6.136
Ac -3.235 1.313 0.194
Ac -0.328 1.832 2.795
Ga 0.000 0.000 0.000



8
Lattice="-1.203 -2.440 2.825 0.680 -3.036 -2.332 9.826 -0.610 3.657" Properties=species:S:1:pos:R:3 comment="PBE Tb4Co3Ni, relaxed" formation_energy_kj_per_mol_fu=-188 total_magnetization_mub_per_cell=0.0 pbc="T T T"
Co 4.287 -0.266 1.596
Co 5.851 -1.860 0.885
Co 8.585 -1.790 4.832
Tb 1.407 -0.087 0.524
Tb 3.273 -2.957 1.562
Tb 8.748 -2.040 1.964
Tb 5.712 -1.612 3.763
Ni 0.394 -2.779 0.491



4
Lattice="3.612 0.000 0.000 0.000 3.612 0.000 0.000 0.000 6.264" Properties=species:S:1:pos:R:3 comment="PBE Sc2TlTc, relaxed" formation_energy_kj_per_mol_fu=14 polymorph_energy_kj_per_mol_atoms=32.3 total_magnetization_mub_per_cell=0.1 pbc="T T T"
Tc 0.000 0.000 2.904
Tl 1.806 1.806 4.659
Sc 0.000 0.000 0.036
Sc 1.806 1.806 1.798



22
Lattice="-3.829 -6.159 4.210 3.370 -7.599 1.098 2.652 -2.819 7.439" Properties=species:S:1:pos:R:3 comment="PBE EuGe7Ir3, relaxed" formation_energy_kj_per_mol_fu=-465 total_magnetization_mub_per_cell=13.2 pbc="T T T"
Ge 2.220 -6.383 3.941
Ge 0.548 -4.144 3.187
Ge 1.689 -5.796 8.451
Ge -0.573 -6.669 4.050
Ge 0.504 -10.782 4.296
Ge 0.748 -5.050 5.928
Ge -0.027 -10.194 8.806
Ge 1.645 -12.433 9.560
Ge 4.221 -7.928 7.368
Ge 3.427 -8.897 4.118
Ge -1.234 -7.681 8.628
Ge -2.028 -8.650 5.378
Ge 1.445 -11.528 6.818
Ge 2.766 -9.909 8.696
Ir -0.999 -10.760 6.410
Ir 3.192 -5.818 6.336
Ir 1.146 -8.022 9.602
Ir 1.047 -8.556 3.144
Ir 3.691 -10.229 6.294
Ir -1.498 -6.348 6.453
Eu 0.000 0.000 0.000
Eu 1.097 -8.289 6.373



12
Lattice="-5.964 7.288 -1.887 -7.192 -0.294 2.861 -0.960 3.831 8.465" Properties=species:S:1:pos:R:3 comment="PBE Rb5Tl6Ga, relaxed" formation_energy_kj_per_mol_fu=-85 total_magnetization_mub_per_cell=0.0 pbc="T T T"
Rb -9.074 5.008 4.851
Rb -6.578 3.497 0.487
Rb -5.041 5.816 4.589
Rb -2.845 0.986 3.434
Rb -5.306 2.551 7.892
Tl -7.334 8.609 5.168
Tl -10.936 4.882 1.337
Tl -2.081 4.030 5.790
Tl -6.782 2.216 4.271
Tl -2.219 2.112 -0.363
Tl -12.034 6.794 3.650
Ga 0.000 0.000 0.000



20
Lattice="-8.168 -4.631 2.924 -0.487 -3.112 -8.469 5.350 -4.395 5.805" Properties=species:S:1:pos:R:3 comment="PBE Tb2PmPr6Y, relaxed" formation_energy_kj_per_mol_fu=106 total_magnetization_mub_per_cell=0.0 pbc="T T T"
Pr -1.524 -7.499 1.747
Pr -0.719 -6.443 -4.926
Pr -4.282 -5.428 -4.129
Pr 1.309 -4.909 -2.775
Pr -4.615 -7.229 3.035
Pr -1.574 -9.469 4.433
Pr -2.586 -5.694 5.187
Pr 0.977 -6.710 4.389
Pr -6.860 -8.200 -3.324
Pr -1.732 -2.669 -4.173
Pr -1.782 -4.639 -1.486
Pr 3.554 -3.937 3.585
Y -4.223 -7.110 -0.430
Y 0.917 -5.027 0.691
Pm -2.377 -4.303 -7.366
Pm -0.928 -7.835 7.626
Tb -2.965 -4.452 1.625
Tb 0.554 -2.012 -1.221
Tb -0.341 -7.686 -1.365
Tb -3.859 -10.126 1.481



16
Lattice="-4.685 -0.553 0.688 3.197 -5.352 0.952 1.768 3.732 15.038" Properties=species:S:1:pos:R:3 comment="PBE K3Zn2Au3, relaxed" formation_energy_kj_per_mol_fu=-191 polymorph_energy_kj_per_mol_atoms=1.3 total_magnetization_mub_per_cell=0.0 pbc="T T T"
Zn -0.227 -0.133 14.868
Zn -0.813 -1.370 9.885
Zn 1.092 -0.802 6.793
Zn 0.506 -2.039 1.810
K 1.239 1.286 9.467
K -1.439 -4.472 3.125
K -0.959 -3.458 7.211
K 1.719 2.300 13.553
K 2.010 -1.711 12.317
K -1.731 -0.461 4.361
Au 1.601 -2.312 9.047
Au -2.080 -1.461 1.182
Au 2.359 -0.711 15.496
Au -1.322 0.140 7.631
Au -0.651 0.115 12.177
Au 0.931 -2.288 4.501



5
Lattice="3.760 0.000 0.000 0.000 3.760 0.000 0.000 0.000 5.170" Properties=species:S:1:pos:R:3 comment="PBE VCdSN2, relaxed" polymorph_energy_kj_per_mol_atoms=0.0 total_magnetization_mub_per_cell=0.3 pbc="T T T"
V 0.000 0.000 0.000
N 0.000 1.880 0.000
N 1.880 0.000 0.000
Cd 1.880 1.880 2.585
S 0.000 0.000 2.585



8
Lattice="4.033 0.000 0.000 -2.016 5.173 0.000 0.000 0.000 7.262" Properties=species:S:1:pos:R:3 comment="PBE LaClF2, relaxed" polymorph_energy_kj_per_mol_atoms=0.0 total_magnetization_mub_per_cell=0.0 pbc="T T T"
La 2.016 2.752 5.447
La 0.000 2.421 1.816
F 0.000 3.297 6.780
F 0.000 3.297 4.113
F 2.016 1.877 0.482
F 2.016 1.877 3.149
Cl 2.016 4.662 1.816
Cl 0.000 0.511 5.447